VASP calculation (GGA-PBE) on a relaxed TbNdPb2O8 crystal.

Structure (POSCAR):
```
TbNdPb2O8
1.0
-2.827 2.827 5.384
2.827 -2.827 5.384
2.827 2.827 -5.384
Tb Nd Pb O
1 1 2 8
Direct
0.000 0.000 0.000
0.250 0.750 0.500
0.500 0.500 0.000
0.750 0.250 0.500
0.049 0.092 0.442
0.194 0.658 0.044
0.342 0.385 0.536
0.393 0.951 0.043
0.615 0.150 0.956
0.651 0.607 0.558
0.850 0.806 0.464
0.908 0.349 0.957
```

Summary:
**Formation energy without anion corrections**: -1.732 eV/atom

=====

VASP calculation (GGA-PBE) on a relaxed YEr2Tl3Se6 crystal.

Structure (POSCAR):
```
YEr2Tl3Se6
1.0
3.607 -6.248 0.000
3.607 6.248 0.000
-2.406 0.000 7.776
Y Er Tl Se
1 2 3 6
Direct
0.000 0.000 0.000
0.333 0.667 0.000
0.667 0.333 0.000
0.166 0.834 0.500
0.500 0.500 0.500
0.834 0.166 0.500
0.068 0.404 0.203
0.268 0.268 0.797
0.404 0.068 0.203
0.596 0.932 0.797
0.732 0.732 0.203
0.932 0.596 0.797
```

Summary:
**Formation energy without anion corrections**: -1.386 eV/atom

=====

VASP calculation (GGA-PBE) on a relaxed CrBiS crystal.

Structure (POSCAR):
```
CrBiS
1.0
3.244 0.000 0.000
0.000 4.056 0.000
-1.474 0.000 9.115
Cr Bi S
2 2 2
Direct
0.183 0.250 0.353
0.817 0.750 0.647
0.403 0.250 0.834
0.597 0.750 0.166
0.236 0.750 0.469
0.764 0.250 0.531
```

Summary:
**Formation energy without anion corrections**: 0.117 eV/atom

=====

VASP calculation (GGA-PBE) on a relaxed SrLiAlP2 crystal.

Structure (POSCAR):
```
SrLiAlP2
1.0
4.780 0.000 0.000
0.000 4.780 0.000
0.000 0.000 5.560
Sr Li Al P
1 1 1 2
Direct
0.000 0.000 0.000
0.500 0.500 0.000
0.000 0.000 0.500
0.000 0.500 0.500
0.500 0.000 0.500
```

Summary:
**Formation energy**: 277 meV/atom

=====

VASP calculation (GGA-PBE) on a relaxed LaZnAg2Rh crystal.

Structure (POSCAR):
```
LaZnAg2Rh
1.0
4.674 0.000 0.000
0.000 4.674 0.000
0.000 0.000 5.706
La Zn Ag Rh
1 1 2 1
Direct
0.000 0.000 0.000
0.000 0.000 0.500
0.000 0.500 0.500
0.500 0.000 0.500
0.500 0.500 0.000
```

Summary:
**Formation energy**: 506 meV/atom

=====

VASP calculation (GGA-PBE) on a relaxed PmHo6Co2 crystal.

Structure (POSCAR):
```
PmHo6Co2
1.0
-4.736 4.949 5.009
4.736 -4.949 5.009
4.736 4.949 -5.009
Pm Ho Co
2 12 4
Direct
0.000 0.000 0.000
0.500 0.500 0.000
0.020 0.239 0.782
0.187 0.289 0.476
0.187 0.711 0.897
0.319 0.003 0.685
0.319 0.634 0.315
0.457 0.239 0.218
0.543 0.761 0.782
0.681 0.366 0.685
0.681 0.997 0.315
0.813 0.289 0.103
0.813 0.711 0.524
0.980 0.761 0.218
0.113 0.613 0.500
0.320 0.000 0.320
0.680 0.000 0.680
0.887 0.387 0.500
```

Summary:
**Formation energy**: -59 meV/atom

=====

VASP calculation (GGA-PBE) on a relaxed PuHF crystal.

Structure (POSCAR):
```
PuHF
1.0
3.790 -1.597 0.000
3.790 1.597 0.000
-0.668 0.000 6.628
Pu H F
2 2 2
Direct
0.118 0.118 0.218
0.882 0.882 0.782
0.380 0.380 0.056
0.620 0.620 0.944
0.154 0.154 0.609
0.846 0.846 0.391
```

Summary:
**Final energy**: -8.18 eV per atom

=====

VASP calculation (GGA-PBE) on a relaxed Re2PtW crystal.

Structure (POSCAR):
```
Re2PtW
1.0
4.640 -1.384 0.000
4.640 1.384 0.000
-0.833 0.000 4.782
Re Pt W
2 1 1
Direct
0.000 0.000 0.000
0.746 0.746 0.227
0.247 0.247 0.735
0.495 0.495 0.492
```

Summary:
**Formation energy**: 13 meV/atom